Record 1
# PmYSiNi | Alexandria | PBE | optimized geometry
# **Offset from the most stable computed form**: 0.70 eV/f.u.
# **Density of states at the Fermi level**: 7.455 states/eV per cell
# **Formation energy without anion corrections**: -0.42 eV/atom
# **Total magnetization**: 0.00 Bohr magnetons per cell
data_PmYSiNi
_chemical_formula_sum 'Pm4 Y4 Si4 Ni4'
_space_group_name_H-M_alt 'F -4 3 m'
_space_group_IT_number 216
_space_group_name_Hall 'F -4 2 3'
_cell_length_a 7.0277
_cell_length_b 7.0277
_cell_length_c 7.0277
_cell_angle_alpha 90.00
_cell_angle_beta 90.00
_cell_angle_gamma 90.00
loop_
_atom_site_label
_atom_site_fract_x
_atom_site_fract_y
_atom_site_fract_z
Pm1 0.0000 0.0000 0.0000
Y1 0.0000 0.0000 0.5000
Si1 0.2500 0.2500 0.7500
Ni1 0.2500 0.2500 0.2500


Record 2
# Tm4CdIn3 | Alexandria | PBE | optimized geometry
# **Offset from the most stable computed form**: 0.31 eV/f.u.
# **Density of states at the Fermi level**: 7.488 states/eV per cell
# **Total magnetization**: 0.00 Bohr magnetons per cell
data_Tm4CdIn3
_chemical_formula_sum 'Tm4 Cd1 In3'
_space_group_name_H-M_alt 'P m m 2'
_space_group_IT_number 25
_space_group_name_Hall 'P 2 -2'
_cell_length_a 3.6970
_cell_length_b 4.7660
_cell_length_c 11.9695
_cell_angle_alpha 90.00
_cell_angle_beta 90.00
_cell_angle_gamma 90.00
loop_
_atom_site_label
_atom_site_fract_x
_atom_site_fract_y
_atom_site_fract_z
Tm1 0.0000 0.0000 0.0000
Tm2 0.0000 0.5000 0.3155
Tm3 0.5000 0.0000 0.4954
Tm4 0.5000 0.5000 0.8180
Cd1 0.5000 0.0000 0.2336
In1 0.0000 0.0000 0.7364
In2 0.0000 0.5000 0.5795
In3 0.5000 0.5000 0.0817


Record 3
# La2Y | Alexandria | PBE | optimized geometry
# **Offset from the most stable computed form**: 0.01 eV/f.u.
# **Density of states at the Fermi level**: 5.736 states/eV per cell
# **Total magnetization**: 0.00 Bohr magnetons per cell
data_La2Y
_chemical_formula_sum 'La2 Y1'
_space_group_name_H-M_alt 'P -3 m 1'
_space_group_IT_number 164
_space_group_name_Hall '-P 3 2"'
_cell_length_a 3.6806
_cell_length_b 3.6806
_cell_length_c 9.0527
_cell_angle_alpha 90.00
_cell_angle_beta 90.00
_cell_angle_gamma 120.00
loop_
_atom_site_label
_atom_site_fract_x
_atom_site_fract_y
_atom_site_fract_z
La1 0.3333 0.6667 0.1714
Y1 0.0000 0.0000 0.5000


Record 4
# Nd7Ho12Er | Alexandria | PBE | optimized geometry
# **Offset from the most stable computed form**: 0.00 eV/f.u.
# **Density of states at the Fermi level**: 108.224 states/eV per cell
# **Total magnetization**: 0.00 Bohr magnetons per cell
data_Nd7Ho12Er
_chemical_formula_sum 'Nd21 Ho36 Er3'
_space_group_name_H-M_alt 'R -3'
_space_group_IT_number 148
_space_group_name_Hall '-R 3'
_cell_length_a 11.9644
_cell_length_b 11.9644
_cell_length_c 16.2559
_cell_angle_alpha 90.00
_cell_angle_beta 90.00
_cell_angle_gamma 120.00
loop_
_atom_site_label
_atom_site_fract_x
_atom_site_fract_y
_atom_site_fract_z
Nd1 0.0000 0.0000 0.0000
Nd2 0.0562 0.8689 0.2887
Ho1 0.0266 0.5768 0.2219
Ho2 0.0523 0.4666 0.5829
Er1 0.0000 0.0000 0.5000


Record 5
# Y3TePbS | Alexandria | PBE | optimized geometry
# **Density of states at the Fermi level**: 6.434 states/eV per cell
# **Formation energy without anion corrections**: -1.13 eV/atom
# **Total magnetization**: 0.00 Bohr magnetons per cell
data_Y3TePbS
_chemical_formula_sum 'Y6 Te2 Pb2 S2'
_space_group_name_H-M_alt 'P 1 21/m 1'
_space_group_IT_number 11
_space_group_name_Hall '-P 2yb'
_cell_length_a 8.9348
_cell_length_b 4.2594
_cell_length_c 10.2433
_cell_angle_alpha 90.00
_cell_angle_beta 92.24
_cell_angle_gamma 90.00
loop_
_atom_site_label
_atom_site_fract_x
_atom_site_fract_y
_atom_site_fract_z
Y1 0.1194 0.2500 0.3834
Y2 0.3586 0.2500 0.0804
Y3 0.3713 0.7500 0.6394
Te1 0.1217 0.2500 0.6801
Pb1 0.3638 0.7500 0.3185
S1 0.3444 0.7500 0.9195


Question: Which formula does entry 5 have?
Answer: Y3TePbS